Compound: NaPrYFeO6
Source: Alexandria via LeMat-Bulk
Functional: PBE+U
Structure: optimized geometry

```
NaPrYFeO6
1.0
3.530 -4.366 0.913
0.502 -2.208 5.217
-2.097 -5.168 1.115
O Y Na Pr Fe
6 1 1 1 1
direct
0.769 0.231 0.769 O
0.231 0.769 0.231 O
0.769 0.231 0.231 O
0.769 0.769 0.231 O
0.231 0.231 0.769 O
0.231 0.769 0.769 O
0.500 0.500 0.500 Y
0.250 0.250 0.250 Na
0.750 0.750 0.750 Pr
0.000 0.000 0.000 Fe
```

Summary:
Calculated total energy = -6.882 eV per atom
Density of states at the Fermi level = 0.10 states/eV/f.u.
Magnetization = 3.02 μB/f.u.
Space-group type = F-43m, No. 216